VASP calculation (PBE-GGA) on a relaxed Pm3Er7Tl2 crystal.

Cell: 5.660 3.604 18.355 Å, 90.00 93.25 90.00°
Sites, in units of the cell vectors:
Pm: 0.000 0.000 0.000
Pm: 0.274 0.500 0.634
Pm: 0.726 0.500 0.366
Er: 0.173 0.500 0.149
Er: 0.242 0.000 0.458
Er: 0.325 0.000 0.832
Er: 0.500 0.500 0.000
Er: 0.675 0.000 0.168
Er: 0.758 0.000 0.542
Er: 0.827 0.500 0.851
Tl: 0.210 0.000 0.291
Tl: 0.790 0.000 0.709

Results
Calculated total energy (eV per cell): -51.26
Formation energy (kJ/mol of atoms): -3
Magnetic moment (μB/f.u.): 0.0
V (Å³ per cell): 373.8